Record 1
Here is crystalline BaAgMo2 at its relaxed geometry from the Alexandria database. Energies are from PBE-GGA.

Cell: 3.0795 3.0795 10.0019 Å, 90.00 90.00 112.72°
Element x y z (fractional)
Ba  0.0000  0.0000  0.0000
Ag  0.5000  0.5000  0.7042
Mo  0.0000  0.0000  0.4738
Mo  0.5000  0.5000  0.2947

## Properties
Energy of formation from the pure elements   0.72 eV/atom
V   21.87 A^3/atom

=====

Record 2
Here is crystalline Y3InNi8 at its relaxed geometry from the Alexandria database. Energies are from PBE-GGA.

Cell: 8.7650 8.7650 8.7650 Å, 33.39 33.39 33.39°
Element x y z (fractional)
Y  0.0000  0.0000  0.0000
Y  0.1274  0.1274  0.1274
Y  0.5086  0.5086  0.5086
In  0.6312  0.6312  0.6312
Ni  0.0651  0.5665  0.5665
Ni  0.0674  0.0674  0.5641
Ni  0.0674  0.5641  0.0674
Ni  0.3159  0.3159  0.3159
Ni  0.5641  0.0674  0.0674
Ni  0.5665  0.0651  0.5665
Ni  0.5665  0.5665  0.0651
Ni  0.8158  0.8158  0.8158

## Properties
Energy of formation from the pure elements   -0.40 eV/atom
V   15.14 A^3/atom

=====

Record 3
Here is crystalline ScRe2Au at its relaxed geometry from the Alexandria database. Energies are from PBE-GGA.

Cell: 2.8401 4.4610 5.4968 Å, 90.00 90.00 90.00°
Element x y z (fractional)
Sc  0.0000  0.0000  0.0000
Re  0.5000  0.5000  0.2152
Re  0.5000  0.5000  0.7848
Au  0.0000  0.0000  0.5000

## Properties
Energy of formation from the pure elements   0.28 eV/atom
V   17.41 A^3/atom

=====

Record 4
Here is crystalline ZrB3Au at its relaxed geometry from the Alexandria database. Energies are from PBE-GGA.

Cell: 4.4176 4.4176 4.4176 Å, 90.00 90.00 90.00°
Element x y z (fractional)
Zr  0.0000  0.0000  0.0000
B  0.0000  0.0000  0.5000
B  0.0000  0.5000  0.0000
B  0.5000  0.0000  0.0000
Au  0.5000  0.5000  0.5000

## Properties
Energy of formation from the pure elements   1.90 eV/atom
V   17.24 A^3/atom

=====

Record 5
Here is crystalline Np2CoGe3Ir4 at its relaxed geometry from the Alexandria database. Energies are from PBE-GGA.

Cell: 4.1126 4.1126 10.4464 Å, 90.00 90.00 90.00°
Element x y z (fractional)
Np  0.0000  0.5000  0.2421
Np  0.5000  0.0000  0.7579
Co  0.5000  0.5000  0.0000
Ge  0.0000  0.0000  0.0000
Ge  0.0000  0.5000  0.6328
Ge  0.5000  0.0000  0.3672
Ir  0.0000  0.0000  0.5000
Ir  0.0000  0.5000  0.8652
Ir  0.5000  0.0000  0.1348
Ir  0.5000  0.5000  0.5000

## Properties
Energy of formation from the pure elements   -0.34 eV/atom
V   17.67 A^3/atom

=====

Record 6
Here is crystalline MoW5 at its relaxed geometry from the Alexandria database. Energies are from PBE-GGA.

Cell: 5.2314 5.2314 5.2314 Å, 60.00 60.00 60.00°
Element x y z (fractional)
Mo  0.0000  0.0000  0.0000
W  0.1253  0.6249  0.6249
W  0.2500  0.2500  0.2500
W  0.6249  0.1253  0.6249
W  0.6249  0.6249  0.1253
W  0.6249  0.6249  0.6249

## Properties
Energy of formation from the pure elements   0.43 eV/atom
V   16.87 A^3/atom

=====

Record 7
Here is crystalline YMgFe2 at its relaxed geometry from the Alexandria database. Energies are from PBE-GGA.

Cell: 5.1286 5.1286 5.1286 Å, 132.82 132.82 68.94°
Element x y z (fractional)
Y  0.0000  0.0000  0.0000
Mg  0.7500  0.2500  0.5000
Fe  0.2500  0.7500  0.5000
Fe  0.5000  0.5000  0.0000

## Properties
Energy of formation from the pure elements   0.31 eV/atom
V   17.81 A^3/atom

=====

Record 8
Here is crystalline ScPBr at its relaxed geometry from the Alexandria database. Energies are from PBE-GGA.

Cell: 7.3632 7.2595 3.2404 Å, 78.99 75.41 25.59°
Element x y z (fractional)
Sc  0.0000  0.0000  0.0000
P  0.6164  0.6164  0.3836
Br  0.3683  0.3683  0.6317

## Properties
V   24.05 A^3/atom
Formation energy without anion corrections   -0.7133 eV/atom

=====

What did the first record say?
Here is crystalline BaAgMo2 at its relaxed geometry from the Alexandria database. Energies are from PBE-GGA.

Cell: 3.0795 3.0795 10.0019 Å, 90.00 90.00 112.72°
Element x y z (fractional)
Ba  0.0000  0.0000  0.0000
Ag  0.5000  0.5000  0.7042
Mo  0.0000  0.0000  0.4738
Mo  0.5000  0.5000  0.2947

## Properties
Energy of formation from the pure elements   0.72 eV/atom
V   21.87 A^3/atom